# YCrTeN2 (GGA-PBE, relaxed)
data_YCrTeN2
_chemical_formula_sum 'Y1 Cr1 Te1 N2'
_symmetry_space_group_name_H-M 'P 4/m m m'
_symmetry_Int_Tables_number 123
_symmetry_space_group_name_Hall '-P 4 2'
_cell_length_a 4.3859
_cell_length_b 4.3859
_cell_length_c 6.4154
_cell_angle_alpha 90.00
_cell_angle_beta 90.00
_cell_angle_gamma 90.00
loop_
_atom_site_label
_atom_site_fract_x
_atom_site_fract_y
_atom_site_fract_z
_atom_site_occupancy
Y1 0.0000 0.0000 0.0000 1
Cr1 0.5000 0.5000 0.5000 1
Te1 0.0000 0.0000 0.5000 1
N1 0.0000 0.5000 0.0000 1
# DOS at the Fermi energy: 6.2 states/eV/f.u.
# energy relative to the elements, uncorrected: 912 meV/atom